Below is MoOs after structural relaxation, with properties calculated at the GGA-PBE level.

- Symmetry: P6_3/mmc, No. 194
- E_form: 1.1804 eV/atom
- ρ: 11499 kg/m3

Unit cell a=4.395 b=4.395 c=4.941 alpha=90.00 beta=90.00 gamma=120.00
Element x y z (fractional)
Mo  0.333  0.667  0.250
Mo  0.667  0.333  0.750
Os  0.333  0.667  0.750
Os  0.667  0.333  0.250